# 1
Here is a relaxed SiTcRuC crystal from the Alexandria database. Energies are from GGA-PBE.

abc: 2.8254 2.8254 12.1353
angles: 90.00 90.00 90.00
Sites, in units of the cell vectors:
1 Ru 0.5000 0.5000 0.4712
2 Tc 0.0000 0.0000 0.3045
3 Si 0.0000 0.0000 0.5841
4 Ru 0.0000 0.0000 0.9712
5 C 0.0000 0.0000 0.7388
6 Tc 0.5000 0.5000 0.8045
7 Si 0.5000 0.5000 0.0841
8 C 0.5000 0.5000 0.2388

Results
Energy relative to the elements, uncorrected: -2 kJ/mol of atoms
N(E_F): 0.5577 states/eV per atom
Crystal system: tetragonal
Calculated total energy: -0.3157 Ha/atom
SG: I4mm (107)



# 2
Here is a relaxed Cd2In3Ga7 crystal from the Alexandria database. Energies are from GGA-PBE.

abc: 3.0843 5.3975 15.9464
angles: 83.33 90.00 90.00
Sites, in units of the cell vectors:
1 Ga 0.5000 0.2511 0.4996
2 In 0.0000 0.1836 0.3380
3 Ga 0.5000 0.8683 0.8362
4 Ga 0.0000 0.6420 0.1614
5 In 0.0000 0.8164 0.6620
6 Cd 0.5000 0.3098 0.6776
7 Ga 0.0000 0.3580 0.8386
8 Cd 0.5000 0.6902 0.3224
9 Ga 0.0000 0.0000 0.0000
10 Ga 0.5000 0.7489 0.5004
11 Ga 0.5000 0.1317 0.1638
12 In 0.5000 0.5000 0.0000

Results
N(E_F): 0.2824 states/eV per atom
Crystal system: monoclinic
Calculated total energy: -0.0935 Ha/atom
SG: P2/m (10)



# 3
Here is a relaxed SrOsIO2 crystal from the Alexandria database. Energies are from GGA-PBE.

abc: 4.1578 4.1578 5.6328
angles: 90.00 90.00 90.00
Last column: magnetic moment on the atom in μB.
Sites, in units of the cell vectors:
1 I 0.0000 0.0000 0.5000  0.00
2 Sr 0.5000 0.5000 0.5000  0.00
3 O 0.0000 0.5000 0.0000  0.18
4 O 0.5000 0.0000 0.0000  0.18
5 Os 0.0000 0.0000 0.0000  0.78

Results
Energy relative to the elements, uncorrected: -54 kJ/mol of atoms
N(E_F): 0.5347 states/eV per atom
Crystal system: tetragonal
Calculated total energy: -0.1999 Ha/atom
SG: P4/mmm (123)



# 4
Here is a relaxed SrAuBr crystal from the Alexandria database. Energies are from GGA-PBE.

abc: 4.2836 4.2836 9.4233
angles: 90.04 90.04 84.89
Sites, in units of the cell vectors:
1 Br 0.7504 0.7504 0.3773
2 Sr 0.2506 0.2506 0.2513
3 Au 0.2500 0.7500 0.0000
4 Sr 0.7494 0.7494 0.7487
5 Au 0.7500 0.2500 0.0000
6 Br 0.2496 0.2496 0.6227

Results
Energy relative to the elements, uncorrected: -124 kJ/mol of atoms
N(E_F): 0.1724 states/eV per atom
Crystal system: monoclinic
Calculated total energy: -0.1285 Ha/atom
SG: C2/m (12)



# 5
Here is a relaxed SbTe2IrPb crystal from the Alexandria database. Energies are from GGA-PBE.

abc: 5.5494 5.5494 4.9353
angles: 90.00 90.00 90.00
Sites, in units of the cell vectors:
1 Ir 0.0000 0.0000 0.0000
2 Sb 0.0000 0.0000 0.5000
3 Pb 0.5000 0.5000 0.5000
4 Te 0.0000 0.5000 0.0000
5 Te 0.5000 0.0000 0.0000

Results
Energy relative to the elements, uncorrected: 28 kJ/mol of atoms
N(E_F): 1.0450 states/eV per atom
Crystal system: tetragonal
Calculated total energy: -0.1583 Ha/atom
SG: P4/mmm (123)



# 6
Here is a relaxed Cd2Fe2H crystal from the Alexandria database. Energies are from GGA-PBE.

abc: 5.4132 5.4132 4.8290
angles: 90.00 90.00 90.00
Last column: magnetic moment on the atom in μB.
Sites, in units of the cell vectors:
1 Fe 0.3400 0.8400 0.0000  2.61
2 H 0.0000 0.0000 0.0000  -0.03
3 Fe 0.8400 0.6600 0.0000  2.68
4 Cd 0.1752 0.6752 0.5000  -0.03
5 H 0.5000 0.5000 0.0000  -0.03
6 Cd 0.3248 0.1752 0.5000  -0.03
7 Cd 0.8248 0.3248 0.5000  -0.03
8 Fe 0.6600 0.1600 0.0000  2.61
9 Cd 0.6752 0.8248 0.5000  -0.03
10 Fe 0.1600 0.3400 0.0000  2.67

Results
N(E_F): 1.2230 states/eV per atom
Crystal system: tetragonal
Calculated total energy: -0.1474 Ha/atom
SG: P4/mbm (127)



# 7
Here is a relaxed TmSc5Ru6 crystal from the Alexandria database. Energies are from GGA-PBE.

abc: 4.5794 6.4928 7.9053
angles: 114.25 106.84 90.00
Sites, in units of the cell vectors:
1 Sc 0.0000 0.5000 0.0000
2 Sc 0.3334 0.3334 0.6669
3 Ru 0.5000 0.2552 0.0000
4 Ru 0.8313 0.5789 0.6626
5 Ru 0.1687 0.9162 0.3374
6 Sc 0.6691 0.1691 0.3382
7 Ru 0.1687 0.4211 0.3374
8 Ru 0.8313 0.0838 0.6626
9 Tm 0.0000 0.0000 0.0000
10 Ru 0.5000 0.7448 0.0000
11 Sc 0.6666 0.6666 0.3331
12 Sc 0.3309 0.8309 0.6618

Results
N(E_F): 1.1443 states/eV per atom
Crystal system: orthorhombic
Calculated total energy: -0.2998 Ha/atom
SG: Immm (71)



# 8
Here is a relaxed TcAuO3 crystal from the Alexandria database. Energies are from GGA-PBE.

abc: 4.0394 4.0394 4.0394
angles: 90.00 90.00 90.00
Last column: magnetic moment on the atom in μB.
Sites, in units of the cell vectors:
1 Tc 0.5000 0.5000 0.5000  4.05
2 O 0.0000 0.5000 0.0000  0.08
3 Au 0.0000 0.0000 0.0000  -0.03
4 O 0.0000 0.0000 0.5000  0.08
5 O 0.5000 0.0000 0.0000  0.05

Results
Energy relative to the elements, uncorrected: 69 kJ/mol of atoms
N(E_F): 0.5645 states/eV per atom
Crystal system: cubic
Calculated total energy: -0.1834 Ha/atom
SG: Pm-3m (221)



# 9
Here is a relaxed Ba3PtSe crystal from the Alexandria database. Energies are from GGA-PBE.

abc: 6.0774 6.0774 6.0774
angles: 90.00 90.00 90.00
Sites, in units of the cell vectors:
1 Pt 0.0000 0.0000 0.0000
2 Ba 0.0000 0.5000 0.0000
3 Ba 0.0000 0.0000 0.5000
4 Ba 0.5000 0.0000 0.0000
5 Se 0.5000 0.5000 0.5000

Results
Energy relative to the elements, uncorrected: -69 kJ/mol of atoms
N(E_F): 1.4742 states/eV per atom
Crystal system: cubic
Calculated total energy: -0.1386 Ha/atom
SG: Pm-3m (221)



# 10
Here is a relaxed Ti2AsBr crystal from the Alexandria database. Energies are from GGA-PBE.

abc: 4.5727 4.5727 4.5727
angles: 60.00 60.00 60.00
Sites, in units of the cell vectors:
1 Br 0.5000 0.5000 0.5000
2 Ti 0.7500 0.7500 0.7500
3 As 0.0000 0.0000 0.0000
4 Ti 0.2500 0.2500 0.2500

Results
Energy relative to the elements, uncorrected: -41 kJ/mol of atoms
N(E_F): 0.0626 states/eV per atom
Crystal system: cubic
Calculated total energy: -0.2190 Ha/atom
SG: Fm-3m (225)



# 11
Here is a relaxed LiB2As crystal from the Alexandria database. Energies are from GGA-PBE.

abc: 5.5052 5.5052 5.5803
angles: 60.44 60.44 90.00
Sites, in units of the cell vectors:
1 B 0.8750 0.9183 0.7500
2 As 0.7500 0.2500 0.5000
3 B 0.3750 0.3317 0.7500
4 Li 0.2500 0.7500 0.5000
5 B 0.0817 0.6250 0.2500
6 As 0.0000 0.0000 0.0000
7 Li 0.5000 0.5000 0.0000
8 B 0.6683 0.1250 0.2500

Results
N(E_F): 0.1310 states/eV per atom
Crystal system: tetragonal
Calculated total energy: -0.1468 Ha/atom
SG: I-42d (122)



# 12
Here is a relaxed LaIn9Pd2 crystal from the Alexandria database. Energies are from GGA-PBE.

abc: 7.3176 9.6576 9.6576
angles: 81.75 67.74 67.74
Sites, in units of the cell vectors:
1 In 0.6669 0.5626 0.1957
2 Pd 0.8750 0.2500 0.2500
3 In 0.0831 0.9374 0.3043
4 In 0.3247 0.6957 0.0626
5 In 0.1374 0.4374 0.1957
6 In 0.0000 0.0000 0.0000
7 In 0.3247 0.0626 0.6957
8 In 0.4253 0.4374 0.8043
9 La 0.5000 0.0000 0.0000
10 Pd 0.8750 0.2500 0.7500
11 In 0.7705 0.8043 0.5626
12 In 0.6669 0.1957 0.5626
13 In 0.9795 0.9374 0.6957
14 In 0.6126 0.0626 0.3043
15 In 0.7500 0.5000 0.5000
16 Pd 0.8750 0.7500 0.2500
17 La 0.2500 0.5000 0.5000
18 In 0.7705 0.5626 0.8043
19 In 0.4253 0.8043 0.4374
20 In 0.0831 0.3043 0.9374
21 In 0.6126 0.3043 0.0626
22 In 0.1374 0.1957 0.4374
23 In 0.9795 0.6957 0.9374
24 Pd 0.3750 0.7500 0.7500

Results
N(E_F): 0.4313 states/eV per atom
Crystal system: tetragonal
Calculated total energy: -0.1309 Ha/atom
SG: I4_1/amd (141)